[1]
This record from Alexandria via LeMat-Bulk describes Ac4Sb3As after structural relaxation. The functional is PBE-GGA.

Lattice parameters (Å, degrees): 8.202 8.214 9.492 90.00 90.00 109.50
Atoms (fractional coordinates):
Sb: 0.750 0.000 0.374
Sb: 0.250 0.000 0.626
Sb: 0.750 0.500 0.625
Sb: 0.750 0.500 0.125
Sb: 0.250 0.500 0.375
Sb: 0.250 0.500 0.875
Ac: 0.994 0.246 0.631
Ac: 0.502 0.239 0.881
Ac: 0.494 0.246 0.369
Ac: 0.002 0.239 0.119
Ac: 0.998 0.761 0.881
Ac: 0.506 0.754 0.631
Ac: 0.498 0.761 0.119
Ac: 0.006 0.754 0.369
As: 0.750 0.000 0.877
As: 0.250 0.000 0.123

Results
For the density of states at the Fermi level, the calculation gives 1.81 states/eV/cell. The spin magnetization comes out at 0.000 μB/atom. Its raw total energy is -5.45 eV/atom. For the formation energy (no corrections), the calculation gives -1.271 eV/atom.

[2]
This record from Alexandria via LeMat-Bulk describes MgAl2Tl2 after structural relaxation. The functional is PBE-GGA.

Lattice parameters (Å, degrees): 8.349 8.349 3.534 90.00 90.00 90.00
Atoms (fractional coordinates):
Mg: 0.000 0.000 0.000
Mg: 0.500 0.500 0.000
Tl: 0.320 0.820 0.000
Tl: 0.820 0.680 0.000
Tl: 0.680 0.180 0.000
Tl: 0.180 0.320 0.000
Al: 0.119 0.619 0.500
Al: 0.619 0.881 0.500
Al: 0.881 0.381 0.500
Al: 0.381 0.119 0.500

Results
The calculation puts the energy above the most stable polymorph in this dataset at 90 meV/atom. For the density of states at the Fermi level, the calculation gives 4.91 states/eV/cell. The spin magnetization comes out at 0.000 μB/atom. Its raw total energy is -2.48 eV/atom. The value obtained for the formation energy is 1.43 eV per formula unit.

[3]
This record from Alexandria via LeMat-Bulk describes Zr3CuN after structural relaxation. The functional is PBE-GGA.

Lattice parameters (Å, degrees): 4.437 4.437 4.437 90.00 90.00 90.00
Atoms (fractional coordinates):
Cu: 0.500 0.500 0.500
Zr: 0.000 0.500 0.000
Zr: 0.000 0.000 0.500
Zr: 0.500 0.000 0.000
N: 0.000 0.000 0.000

Results
For the density of states at the Fermi level, the calculation gives 3.06 states/eV/cell. The spin magnetization comes out at 0.000 μB/atom. Its raw total energy is -8.31 eV/atom. For the formation energy (no corrections), the calculation gives -0.693 eV/atom.

[4]
This record from Alexandria via LeMat-Bulk describes LiPuBr3 after structural relaxation. The functional is PBE-GGA.

Lattice parameters (Å, degrees): 4.242 7.387 10.393 95.40 90.00 90.00
Each line ends with the local moment (μB).
Atoms (fractional coordinates):
Li: 0.750 0.398 0.600  0.00
Li: 0.250 0.602 0.400  0.00
Pu: 0.750 0.064 0.163  5.73
Pu: 0.250 0.936 0.837  5.73
Br: 0.750 0.744 0.973  -0.04
Br: 0.250 0.256 0.027  -0.04
Br: 0.750 0.417 0.350  -0.01
Br: 0.250 0.583 0.650  -0.01
Br: 0.750 0.081 0.673  -0.03
Br: 0.250 0.919 0.327  -0.03

Results
For the density of states at the Fermi level, the calculation gives 22.63 states/eV/cell. The spin magnetization comes out at 1.200 μB/atom. Its raw total energy is -5.70 eV/atom. For the formation energy (no corrections), the calculation gives -1.450 eV/atom.

[5]
This record from Alexandria via LeMat-Bulk describes Cs2AlOsI6 after structural relaxation. The functional is PBE-GGA.

Lattice parameters (Å, degrees): 8.266 8.266 8.262 59.99 59.99 90.00
Each line ends with the local moment (μB).
Atoms (fractional coordinates):
Cs: 0.750 0.250 0.500  0.00
Cs: 0.250 0.750 0.500  0.00
I: 0.235 0.235 0.530  0.02
I: 0.765 0.765 0.470  0.02
I: 0.235 0.235 0.000  0.02
I: 0.765 0.765 0.000  0.02
I: 0.765 0.235 0.000  0.02
I: 0.235 0.765 0.000  0.02
Os: 0.000 0.000 0.000  0.75
Al: 0.500 0.500 0.000  -0.01

Results
For the density of states at the Fermi level, the calculation gives 10.05 states/eV/cell. The spin magnetization comes out at 0.100 μB/atom. Its raw total energy is -3.11 eV/atom. For the formation energy (no corrections), the calculation gives -0.515 eV/atom.

[6]
This record from Alexandria via LeMat-Bulk describes BeIn after structural relaxation. The functional is PBE-GGA.

Lattice parameters (Å, degrees): 7.381 12.074 6.751 90.00 90.00 90.00
Atoms (fractional coordinates):
Be: 0.000 0.904 0.000
Be: 0.000 0.096 0.000
Be: 0.250 0.846 0.250
Be: 0.250 0.654 0.250
Be: 0.000 0.404 0.500
Be: 0.000 0.596 0.500
Be: 0.250 0.346 0.750
Be: 0.250 0.154 0.750
Be: 0.500 0.904 0.500
Be: 0.500 0.096 0.500
Be: 0.750 0.846 0.750
Be: 0.750 0.654 0.750
Be: 0.500 0.404 0.000
Be: 0.500 0.596 0.000
Be: 0.750 0.346 0.250
Be: 0.750 0.154 0.250
In: 0.307 0.000 0.000
In: 0.693 0.000 0.000
In: 0.943 0.750 0.250
In: 0.557 0.750 0.250
In: 0.307 0.500 0.500
In: 0.693 0.500 0.500
In: 0.943 0.250 0.750
In: 0.557 0.250 0.750
In: 0.807 0.000 0.500
In: 0.193 0.000 0.500
In: 0.443 0.750 0.750
In: 0.057 0.750 0.750
In: 0.807 0.500 0.000
In: 0.193 0.500 0.000
In: 0.443 0.250 0.250
In: 0.057 0.250 0.250

Results
The calculation puts the energy above the most stable polymorph in this dataset at 235 meV/atom. For the density of states at the Fermi level, the calculation gives 7.32 states/eV/cell. The spin magnetization comes out at 0.000 μB/atom. Its raw total energy is -2.71 eV/atom. The value obtained for the formation energy is 1.04 eV per formula unit.

[7]
This record from Alexandria via LeMat-Bulk describes TiSnSe3 after structural relaxation. The functional is PBE-GGA.

Lattice parameters (Å, degrees): 4.989 4.989 4.989 90.00 90.00 90.00
Atoms (fractional coordinates):
Sn: 0.500 0.500 0.500
Se: 0.000 0.500 0.000
Se: 0.000 0.000 0.500
Se: 0.500 0.000 0.000
Ti: 0.000 0.000 0.000

Results
The calculation puts the energy above the most stable polymorph in this dataset at 344 meV/atom. For the density of states at the Fermi level, the calculation gives 1.96 states/eV/cell. The spin magnetization comes out at 0.000 μB/atom. Its raw total energy is -4.95 eV/atom. For the formation energy (no corrections), the calculation gives -0.480 eV/atom.

[8]
This record from Alexandria via LeMat-Bulk describes SrPbSeN2 after structural relaxation. The functional is PBE-GGA.

Lattice parameters (Å, degrees): 4.794 4.794 6.064 90.00 90.00 90.00
Each line ends with the local moment (μB).
Atoms (fractional coordinates):
Pb: 0.500 0.500 0.500  -0.08
Sr: 0.000 0.000 0.000  0.06
Se: 0.000 0.000 0.500  0.13
N: 0.000 0.500 0.000  1.31
N: 0.500 0.000 0.000  1.31

Results
The calculation puts the energy above the most stable polymorph in this dataset at 412 meV/atom. For the density of states at the Fermi level, the calculation gives 1.15 states/eV/cell. The spin magnetization comes out at 0.800 μB/atom. Its raw total energy is -4.09 eV/atom. For the formation energy (no corrections), the calculation gives 1.020 eV/atom.